Record 1
# Pa2ZnPd3 | Alexandria | PBE | relaxed
data_Pa2ZnPd3
_chemical_formula_sum 'Pa4 Zn2 Pd6'
_cell_length_a 5.603
_cell_length_b 5.603
_cell_length_c 8.174
_cell_angle_alpha 90.00
_cell_angle_beta 90.00
_cell_angle_gamma 120.00
_space_group_name_H-M_alt 'P 1'
_space_group_IT_number 1
loop_
_space_group_symop_operation_xyz
'x,y,z'
loop_
_atom_site_label
_atom_site_type_symbol
_atom_site_fract_x
_atom_site_fract_y
_atom_site_fract_z
_atom_site_occupancy
Pa1 Pa 0.333 0.667 0.078 1
Pa2 Pa 0.333 0.667 0.422 1
Pa3 Pa 0.667 0.333 0.578 1
Pa4 Pa 0.667 0.333 0.922 1
Zn1 Zn 0.000 0.000 0.000 1
Zn2 Zn 0.000 0.000 0.500 1
Pd1 Pd 0.170 0.340 0.750 1
Pd2 Pd 0.170 0.830 0.750 1
Pd3 Pd 0.340 0.170 0.250 1
Pd4 Pd 0.660 0.830 0.750 1
Pd5 Pd 0.830 0.170 0.250 1
Pd6 Pd 0.830 0.660 0.250 1
# ρ   12.7 g/cm3
# Crystal system   hexagonal
# VASP energy   -6.5042 eV/atom
# V   222.2 Å³ per cell

***

Record 2
# PaZnPd | Alexandria | PBE | relaxed
data_PaZnPd
_chemical_formula_sum 'Pa1 Zn1 Pd1'
_cell_length_a 4.578
_cell_length_b 4.578
_cell_length_c 4.578
_cell_angle_alpha 60.00
_cell_angle_beta 60.00
_cell_angle_gamma 60.00
_space_group_name_H-M_alt 'P 1'
_space_group_IT_number 1
loop_
_space_group_symop_operation_xyz
'x,y,z'
loop_
_atom_site_label
_atom_site_type_symbol
_atom_site_fract_x
_atom_site_fract_y
_atom_site_fract_z
_atom_site_occupancy
Pa1 Pa 0.000 0.000 0.000 1
Zn1 Zn 0.500 0.500 0.500 1
Pd1 Pd 0.250 0.250 0.250 1
# ρ   9.9 g/cm3
# Crystal system   cubic
# VASP energy   -5.4907 eV/atom
# V   67.8 Å³ per cell

***

Record 3
# Pa2Zn3Pd2 | Alexandria | PBE | relaxed
data_Pa2Zn3Pd2
_chemical_formula_sum 'Pa2 Zn3 Pd2'
_cell_length_a 5.357
_cell_length_b 5.357
_cell_length_c 6.577
_cell_angle_alpha 109.77
_cell_angle_beta 109.77
_cell_angle_gamma 48.97
_space_group_name_H-M_alt 'P 1'
_space_group_IT_number 1
loop_
_space_group_symop_operation_xyz
'x,y,z'
loop_
_atom_site_label
_atom_site_type_symbol
_atom_site_fract_x
_atom_site_fract_y
_atom_site_fract_z
_atom_site_occupancy
Pa1 Pa 0.144 0.144 0.266 1
Pa2 Pa 0.856 0.856 0.734 1
Zn1 Zn 0.394 0.394 0.076 1
Zn2 Zn 0.500 0.500 0.500 1
Zn3 Zn 0.606 0.606 0.924 1
Pd1 Pd 0.150 0.150 0.716 1
Pd2 Pd 0.850 0.850 0.284 1
# ρ   10.9 g/cm3
# Energy above the most stable polymorph in this dataset   0 meV per atom
# Crystal system   monoclinic
# V   132.2 Å³ per cell

***

Record 4
# PaZn6Pd2 | Alexandria | PBE | relaxed
data_PaZn6Pd2
_chemical_formula_sum 'Pa1 Zn6 Pd2'
_cell_length_a 3.864
_cell_length_b 3.864
_cell_length_c 10.193
_cell_angle_alpha 90.00
_cell_angle_beta 90.00
_cell_angle_gamma 90.00
_space_group_name_H-M_alt 'P 1'
_space_group_IT_number 1
loop_
_space_group_symop_operation_xyz
'x,y,z'
loop_
_atom_site_label
_atom_site_type_symbol
_atom_site_fract_x
_atom_site_fract_y
_atom_site_fract_z
_atom_site_occupancy
Pa1 Pa 0.000 0.000 0.000 1
Zn1 Zn 0.000 0.000 0.500 1
Zn2 Zn 0.000 0.500 0.303 1
Zn3 Zn 0.000 0.500 0.697 1
Zn4 Zn 0.500 0.000 0.303 1
Zn5 Zn 0.500 0.000 0.697 1
Zn6 Zn 0.500 0.500 0.500 1
Pd1 Pd 0.500 0.500 0.128 1
Pd2 Pd 0.500 0.500 0.872 1
# ρ   9.1 g/cm3
# Crystal system   tetragonal
# VASP energy   -3.2929 eV/atom
# V   152.2 Å³ per cell

***

Record 5
# PaZnPd | Alexandria | PBE | relaxed
data_PaZnPd
_chemical_formula_sum 'Pa1 Zn1 Pd1'
_cell_length_a 5.993
_cell_length_b 5.993
_cell_length_c 5.993
_cell_angle_alpha 149.21
_cell_angle_beta 149.21
_cell_angle_gamma 44.10
_space_group_name_H-M_alt 'P 1'
_space_group_IT_number 1
loop_
_space_group_symop_operation_xyz
'x,y,z'
loop_
_atom_site_label
_atom_site_type_symbol
_atom_site_fract_x
_atom_site_fract_y
_atom_site_fract_z
_atom_site_occupancy
Pa1 Pa 0.000 0.000 0.000 1
Zn1 Zn 0.307 0.307 0.000 1
Pd1 Pd 0.677 0.677 0.000 1
# ρ   11.9 g/cm3
# Crystal system   tetragonal
# VASP energy   -5.6715 eV/atom
# V   56.2 Å³ per cell

***

Record 6
# Pa3Zn4Pd4 | Alexandria | PBE | relaxed
data_Pa3Zn4Pd4
_chemical_formula_sum 'Pa3 Zn4 Pd4'
_cell_length_a 8.120
_cell_length_b 8.120
_cell_length_c 8.120
_cell_angle_alpha 151.03
_cell_angle_beta 125.39
_cell_angle_gamma 63.00
_space_group_name_H-M_alt 'P 1'
_space_group_IT_number 1
loop_
_space_group_symop_operation_xyz
'x,y,z'
loop_
_atom_site_label
_atom_site_type_symbol
_atom_site_fract_x
_atom_site_fract_y
_atom_site_fract_z
_atom_site_occupancy
Pa1 Pa 0.000 0.000 0.000 1
Pa2 Pa 0.376 0.876 0.500 1
Pa3 Pa 0.624 0.124 0.500 1
Zn1 Zn 0.021 0.324 0.697 1
Zn2 Zn 0.374 0.676 0.697 1
Zn3 Zn 0.626 0.324 0.303 1
Zn4 Zn 0.979 0.676 0.303 1
Pd1 Pd 0.219 0.219 0.000 1
Pd2 Pd 0.304 0.500 0.804 1
Pd3 Pd 0.696 0.500 0.196 1
Pd4 Pd 0.781 0.781 0.000 1
# ρ   10.9 g/cm3
# Crystal system   orthorhombic
# VASP energy   -5.3673 eV/atom
# V   209.5 Å³ per cell

***

Record 7
# PaZn4Pd | Alexandria | PBE | relaxed
data_PaZn4Pd
_chemical_formula_sum 'Pa2 Zn8 Pd2'
_cell_length_a 7.935
_cell_length_b 3.837
_cell_length_c 7.001
_cell_angle_alpha 90.00
_cell_angle_beta 90.00
_cell_angle_gamma 90.00
_space_group_name_H-M_alt 'P 1'
_space_group_IT_number 1
loop_
_space_group_symop_operation_xyz
'x,y,z'
loop_
_atom_site_label
_atom_site_type_symbol
_atom_site_fract_x
_atom_site_fract_y
_atom_site_fract_z
_atom_site_occupancy
Pa1 Pa 0.250 0.000 0.110 1
Pa2 Pa 0.750 0.000 0.890 1
Zn1 Zn 0.000 0.000 0.500 1
Zn2 Zn 0.038 0.500 0.807 1
Zn3 Zn 0.250 0.500 0.443 1
Zn4 Zn 0.462 0.500 0.807 1
Zn5 Zn 0.500 0.000 0.500 1
Zn6 Zn 0.538 0.500 0.193 1
Zn7 Zn 0.750 0.500 0.557 1
Zn8 Zn 0.962 0.500 0.193 1
Pd1 Pd 0.250 0.000 0.717 1
Pd2 Pd 0.750 0.000 0.283 1
# ρ   9.3 g/cm3
# Energy above the most stable polymorph in this dataset   0 meV per atom
# Crystal system   orthorhombic
# V   213.1 Å³ per cell

***

Record 8
# Pa3Zn5Pd2 | Alexandria | PBE | relaxed
data_Pa3Zn5Pd2
_chemical_formula_sum 'Pa6 Zn10 Pd4'
_cell_length_a 8.764
_cell_length_b 8.764
_cell_length_c 8.764
_cell_angle_alpha 96.80
_cell_angle_beta 95.46
_cell_angle_gamma 141.86
_space_group_name_H-M_alt 'P 1'
_space_group_IT_number 1
loop_
_space_group_symop_operation_xyz
'x,y,z'
loop_
_atom_site_label
_atom_site_type_symbol
_atom_site_fract_x
_atom_site_fract_y
_atom_site_fract_z
_atom_site_occupancy
Pa1 Pa 0.125 0.744 0.869 1
Pa2 Pa 0.250 0.250 0.000 1
Pa3 Pa 0.375 0.244 0.618 1
Pa4 Pa 0.625 0.756 0.382 1
Pa5 Pa 0.750 0.750 0.000 1
Pa6 Pa 0.875 0.256 0.131 1
Zn1 Zn 0.009 0.750 0.259 1
Zn2 Zn 0.117 0.369 0.486 1
Zn3 Zn 0.250 0.750 0.500 1
Zn4 Zn 0.383 0.869 0.252 1
Zn5 Zn 0.491 0.750 0.741 1
Zn6 Zn 0.509 0.250 0.259 1
Zn7 Zn 0.617 0.131 0.748 1
Zn8 Zn 0.750 0.250 0.500 1
Zn9 Zn 0.883 0.631 0.514 1
Zn10 Zn 0.991 0.250 0.741 1
Pd1 Pd 0.148 0.158 0.307 1
Pd2 Pd 0.352 0.658 0.010 1
Pd3 Pd 0.648 0.342 0.990 1
Pd4 Pd 0.852 0.842 0.693 1
# ρ   10.4 g/cm3
# Crystal system   orthorhombic
# VASP energy   -4.6555 eV/atom
# V   392.9 Å³ per cell

***

ρ of number 8 (Pa3Zn5Pd2)? 10.4 g/cm3

***

Which formula does entry 2 have? PaZnPd

***

Which of these has the lowest ρ? PaZn6Pd2